[1]
# PrMgAu (GGA-PBE, relaxed)
# crystal system = tetragonal
# formation energy from the elements = -0.4684 eV per atom
# magnetic moment = 0.01 μB/f.u.
# calculated volume = 24.7 A^3/atom
# mass density = 8.1 g cm⁻³
data_PrMgAu
_space_group_name_H-M_alt 'P 1'
_space_group_IT_number 1
_space_group_name_Hall 'P 1'
_cell_length_a 3.558
_cell_length_b 3.558
_cell_length_c 6.363
_cell_angle_alpha 106.24
_cell_angle_beta 106.24
_cell_angle_gamma 90.00
loop_
_atom_site_label
_atom_site_fract_x
_atom_site_fract_y
_atom_site_fract_z
Pr1 0.938 0.938 0.876
Mg1 0.648 0.648 0.296
Au1 0.264 0.264 0.528

---

[2]
# Pr4MgAu2 (GGA-PBE, relaxed)
# crystal system = triclinic
# formation energy from the elements = -0.4205 eV per atom
# magnetic moment = 0.00 μB/f.u.
# calculated volume = 30.2 A^3/atom
# mass density = 7.7 g cm⁻³
data_Pr4MgAu2
_space_group_name_H-M_alt 'P 1'
_space_group_IT_number 1
_space_group_name_Hall 'P 1'
_cell_length_a 7.381
_cell_length_b 7.174
_cell_length_c 9.353
_cell_angle_alpha 107.27
_cell_angle_beta 108.10
_cell_angle_gamma 102.66
loop_
_atom_site_label
_atom_site_fract_x
_atom_site_fract_y
_atom_site_fract_z
Pr1 0.980 0.197 0.317
Pr2 0.387 0.490 0.200
Pr3 0.853 0.583 0.590
Pr4 0.720 0.171 0.762
Pr5 0.438 0.041 0.300
Pr6 0.208 0.158 0.738
Pr7 0.512 0.742 0.909
Pr8 0.912 0.631 0.183
Mg1 0.310 0.723 0.526
Mg2 0.034 0.947 0.974
Au1 0.430 0.391 0.578
Au2 0.778 0.904 0.445
Au3 0.584 0.209 0.055
Au4 0.102 0.564 0.922

---

[3]
# PrMg11Au (GGA-PBE, relaxed)
# crystal system = monoclinic
# formation energy from the elements = -0.1629 eV per atom
# magnetic moment = 0.00 μB/f.u.
# calculated volume = 23.0 A^3/atom
# mass density = 3.4 g cm⁻³
data_PrMg11Au
_space_group_name_H-M_alt 'P 1'
_space_group_IT_number 1
_space_group_name_Hall 'P 1'
_cell_length_a 5.727
_cell_length_b 7.698
_cell_length_c 7.788
_cell_angle_alpha 82.62
_cell_angle_beta 68.43
_cell_angle_gamma 69.57
loop_
_atom_site_label
_atom_site_fract_x
_atom_site_fract_y
_atom_site_fract_z
Pr1 0.000 0.000 0.000
Mg1 0.297 0.218 0.208
Mg2 0.703 0.782 0.792
Mg3 0.495 0.782 0.208
Mg4 0.505 0.218 0.792
Mg5 0.356 0.642 0.655
Mg6 0.644 0.358 0.345
Mg7 0.989 0.358 0.655
Mg8 0.011 0.642 0.345
Mg9 0.000 0.500 0.000
Mg10 0.500 0.000 0.500
Mg11 0.000 0.000 0.500
Au1 0.500 0.500 0.000

---

[4]
# PrMgAu3 (GGA-PBE, relaxed)
# crystal system = hexagonal
# formation energy from the elements = -0.4681 eV per atom
# magnetic moment = 0.00 μB/f.u.
# calculated volume = 23.3 A^3/atom
# mass density = 10.8 g cm⁻³
data_PrMgAu3
_space_group_name_H-M_alt 'P 1'
_space_group_IT_number 1
_space_group_name_Hall 'P 1'
_cell_length_a 6.691
_cell_length_b 6.691
_cell_length_c 12.019
_cell_angle_alpha 90.00
_cell_angle_beta 90.00
_cell_angle_gamma 120.00
loop_
_atom_site_label
_atom_site_fract_x
_atom_site_fract_y
_atom_site_fract_z
Pr1 0.333 0.667 0.250
Pr2 0.667 0.333 0.750
Pr3 0.000 0.000 0.500
Pr4 0.000 0.000 0.000
Mg1 0.667 0.333 0.139
Mg2 0.333 0.667 0.639
Mg3 0.333 0.667 0.861
Mg4 0.667 0.333 0.361
Au1 0.137 0.274 0.750
Au2 0.274 0.137 0.250
Au3 0.863 0.137 0.250
Au4 0.137 0.863 0.750
Au5 0.726 0.863 0.750
Au6 0.863 0.726 0.250
Au7 0.500 0.500 0.500
Au8 0.500 0.000 0.000
Au9 0.500 0.500 0.000
Au10 0.500 0.000 0.500
Au11 0.000 0.500 0.500
Au12 0.000 0.500 0.000

---

[5]
# PrMg3Au4 (GGA-PBE, relaxed)
# crystal system = trigonal
# formation energy from the elements = -0.6539 eV per atom
# magnetic moment = 0.00 μB/f.u.
# calculated volume = 20.7 A^3/atom
# mass density = 10.0 g cm⁻³
data_PrMg3Au4
_space_group_name_H-M_alt 'P 1'
_space_group_IT_number 1
_space_group_name_Hall 'P 1'
_cell_length_a 4.682
_cell_length_b 4.682
_cell_length_c 9.137
_cell_angle_alpha 75.16
_cell_angle_beta 75.16
_cell_angle_gamma 60.00
loop_
_atom_site_label
_atom_site_fract_x
_atom_site_fract_y
_atom_site_fract_z
Pr1 0.000 0.000 0.000
Mg1 0.240 0.240 0.281
Mg2 0.760 0.760 0.719
Mg3 0.500 0.500 0.500
Au1 0.872 0.872 0.384
Au2 0.395 0.395 0.815
Au3 0.128 0.128 0.616
Au4 0.605 0.605 0.185

---

[6]
# Pr4MgAu (GGA-PBE, relaxed)
# crystal system = monoclinic
# formation energy from the elements = -0.1976 eV per atom
# magnetic moment = 0.00 μB/f.u.
# calculated volume = 31.6 A^3/atom
# mass density = 6.9 g cm⁻³
data_Pr4MgAu
_space_group_name_H-M_alt 'P 1'
_space_group_IT_number 1
_space_group_name_Hall 'P 1'
_cell_length_a 6.186
_cell_length_b 9.227
_cell_length_c 8.426
_cell_angle_alpha 114.87
_cell_angle_beta 100.23
_cell_angle_gamma 110.24
loop_
_atom_site_label
_atom_site_fract_x
_atom_site_fract_y
_atom_site_fract_z
Pr1 0.063 0.199 0.826
Pr2 0.766 0.704 0.622
Pr3 0.263 0.627 0.826
Pr4 0.356 0.919 0.622
Pr5 0.644 0.081 0.378
Pr6 0.737 0.373 0.174
Pr7 0.234 0.296 0.378
Pr8 0.937 0.801 0.174
Mg1 0.362 0.612 0.225
Mg2 0.638 0.388 0.775
Au1 0.253 0.003 0.005
Au2 0.747 0.997 0.995

---

[7]
# Pr4Mg3Au (GGA-PBE, relaxed)
# crystal system = tetragonal
# formation energy from the elements = -0.2709 eV per atom
# magnetic moment = 0.00 μB/f.u.
# calculated volume = 28.8 A^3/atom
# mass density = 6.0 g cm⁻³
data_Pr4Mg3Au
_space_group_name_H-M_alt 'P 1'
_space_group_IT_number 1
_space_group_name_Hall 'P 1'
_cell_length_a 3.883
_cell_length_b 3.883
_cell_length_c 15.292
_cell_angle_alpha 90.00
_cell_angle_beta 90.00
_cell_angle_gamma 90.00
loop_
_atom_site_label
_atom_site_fract_x
_atom_site_fract_y
_atom_site_fract_z
Pr1 0.000 0.000 0.885
Pr2 0.000 0.000 0.115
Pr3 0.000 0.000 0.371
Pr4 0.000 0.000 0.629
Mg1 0.500 0.500 0.247
Mg2 0.500 0.500 0.500
Mg3 0.500 0.500 0.753
Au1 0.500 0.500 0.000

---

[8]
# PrMg6Au12 (GGA-PBE, relaxed)
# crystal system = trigonal
# formation energy from the elements = -0.4094 eV per atom
# magnetic moment = 0.00 μB/f.u.
# calculated volume = 20.4 A^3/atom
# mass density = 11.3 g cm⁻³
data_PrMg6Au12
_space_group_name_H-M_alt 'P 1'
_space_group_IT_number 1
_space_group_name_Hall 'P 1'
_cell_length_a 7.695
_cell_length_b 7.695
_cell_length_c 7.695
_cell_angle_alpha 106.09
_cell_angle_beta 106.09
_cell_angle_gamma 106.09
loop_
_atom_site_label
_atom_site_fract_x
_atom_site_fract_y
_atom_site_fract_z
Pr1 0.000 0.000 0.000
Mg1 0.699 0.288 0.288
Mg2 0.288 0.288 0.699
Mg3 0.288 0.699 0.288
Mg4 0.712 0.712 0.301
Mg5 0.301 0.712 0.712
Mg6 0.712 0.301 0.712
Au1 0.884 0.116 0.500
Au2 0.885 0.635 0.635
Au3 0.635 0.635 0.885
Au4 0.365 0.115 0.365
Au5 0.365 0.365 0.115
Au6 0.115 0.365 0.365
Au7 0.116 0.500 0.884
Au8 0.500 0.884 0.116
Au9 0.116 0.884 0.500
Au10 0.884 0.500 0.116
Au11 0.500 0.116 0.884
Au12 0.635 0.885 0.635

---

[9]
# PrMg3Au2 (GGA-PBE, relaxed)
# crystal system = monoclinic
# formation energy from the elements = -0.5471 eV per atom
# magnetic moment = 0.00 μB/f.u.
# calculated volume = 22.8 A^3/atom
# mass density = 7.4 g cm⁻³
data_PrMg3Au2
_space_group_name_H-M_alt 'P 1'
_space_group_IT_number 1
_space_group_name_Hall 'P 1'
_cell_length_a 4.308
_cell_length_b 9.404
_cell_length_c 10.893
_cell_angle_alpha 106.79
_cell_angle_beta 90.00
_cell_angle_gamma 103.24
loop_
_atom_site_label
_atom_site_fract_x
_atom_site_fract_y
_atom_site_fract_z
Pr1 0.157 0.313 0.707
Pr2 0.843 0.687 0.293
Pr3 0.000 0.000 0.000
Mg1 0.043 0.087 0.342
Mg2 0.957 0.913 0.658
Mg3 0.213 0.427 0.400
Mg4 0.787 0.573 0.600
Mg5 0.624 0.249 0.211
Mg6 0.376 0.751 0.789
Mg7 0.500 0.000 0.500
Mg8 0.321 0.642 0.026
Mg9 0.679 0.358 0.974
Au1 0.204 0.408 0.144
Au2 0.796 0.592 0.856
Au3 0.464 0.928 0.206
Au4 0.536 0.072 0.794
Au5 0.361 0.722 0.527
Au6 0.639 0.278 0.473

---

[10]
# PrMgAu (GGA-PBE, relaxed)
# crystal system = hexagonal
# formation energy from the elements = -0.5194 eV per atom
# magnetic moment = 0.00 μB/f.u.
# calculated volume = 24.9 A^3/atom
# mass density = 8.1 g cm⁻³
data_PrMgAu
_space_group_name_H-M_alt 'P 1'
_space_group_IT_number 1
_space_group_name_Hall 'P 1'
_cell_length_a 3.691
_cell_length_b 4.830
_cell_length_c 4.830
_cell_angle_alpha 120.00
_cell_angle_beta 90.00
_cell_angle_gamma 90.00
loop_
_atom_site_label
_atom_site_fract_x
_atom_site_fract_y
_atom_site_fract_z
Pr1 0.667 0.667 0.333
Mg1 0.166 0.333 0.667
Au1 0.167 0.000 0.000

---

Result set for N(E_F): 3.18 7.56 6.49 2.09 3.72 7.98 7.82 8.99 3.90 2.02 states/eV/f.u., one per record in the order listed.